No. 1
## Nb2BiAu2 (PBE)

Data for crystalline Nb2BiAu2 at its relaxed geometry.

Unit cell a=7.2464 b=7.2464 c=4.0192 alpha=90.00 beta=90.00 gamma=90.00
Closest atoms and distances in Å follow each position.
Element x y z (fractional)
Bi  0.5000  0.5000  0.0000  4 Nb 2.85
Bi  0.0000  0.0000  0.0000  4 Nb 2.85
Nb  0.3709  0.8709  0.0000  1 Nb 2.65, 2 Bi 2.85, 4 Au 2.88
Nb  0.1291  0.3709  0.0000  1 Nb 2.65, 2 Bi 2.85, 4 Au 2.88
Nb  0.6291  0.1291  0.0000  1 Nb 2.65, 2 Bi 2.85, 4 Au 2.88
Nb  0.8709  0.6291  0.0000  1 Nb 2.65, 2 Bi 2.85, 4 Au 2.88
Au  0.6543  0.8457  0.5000  6 Nb 2.88-2.99, 1 Au 3.16
Au  0.1543  0.6543  0.5000  6 Nb 2.88-2.99, 1 Au 3.16
Au  0.3457  0.1543  0.5000  6 Nb 2.88-2.99, 1 Au 3.16
Au  0.8457  0.3457  0.5000  6 Nb 2.88-2.99, 1 Au 3.16

Results
**Relative energy among the computed polymorphs**: 0 kJ/mol of formula units
**Spin magnetization**: 0.000 μB/cell
**Space group**: P4/mbm

No. 2
## NbBi3Au (PBE)

Data for crystalline NbBi3Au at its relaxed geometry.

Unit cell a=5.4868 b=5.4868 c=5.4868 alpha=90.00 beta=90.00 gamma=90.00
Closest atoms and distances in Å follow each position.
Element x y z (fractional)
Bi  0.5000  0.0000  0.0000  2 Au 2.74
Bi  0.0000  0.0000  0.5000  2 Au 2.74
Bi  0.0000  0.5000  0.0000  2 Au 2.74
Nb  0.5000  0.5000  0.5000  12 Bi 3.88
Au  0.0000  0.0000  0.0000  6 Bi 2.74

Results
**Relative energy among the computed polymorphs**: 240 kJ/mol of formula units
**Spin magnetization**: 3.157 μB/cell
**Space group**: Pm-3m

No. 3
## Nb2BiAu2 (PBE)

Data for crystalline Nb2BiAu2 at its relaxed geometry.

Unit cell a=3.8569 b=3.8569 c=7.5509 alpha=75.20 beta=75.20 gamma=90.00
Closest atoms and distances in Å follow each position.
Element x y z (fractional)
Au  0.2500  0.7500  0.5000  4 Au 2.73, 4 Nb 2.88
Au  0.7500  0.2500  0.5000  4 Au 2.73, 4 Nb 2.88
Nb  0.4020  0.4020  0.1959  1 Nb 2.76, 4 Au 2.88, 4 Bi 3.06
Nb  0.5980  0.5980  0.8041  1 Nb 2.76, 4 Au 2.88, 4 Bi 3.06
Bi  0.0000  0.0000  0.0000  8 Nb 3.06

Results
**Relative energy among the computed polymorphs**: 48 kJ/mol of formula units
**Spin magnetization**: 0.000 μB/cell
**Space group**: I4/mmm

No. 4
## NbBiAu3 (PBE)

Data for crystalline NbBiAu3 at its relaxed geometry.

Unit cell a=5.1231 b=5.1231 c=5.1231 alpha=90.00 beta=90.00 gamma=90.00
Closest atoms and distances in Å follow each position.
Element x y z (fractional)
Au  0.0000  0.5000  0.0000  2 Nb 2.56
Au  0.0000  0.0000  0.5000  2 Nb 2.56
Au  0.5000  0.0000  0.0000  2 Nb 2.56
Bi  0.5000  0.5000  0.5000  12 Au 3.62
Nb  0.0000  0.0000  0.0000  6 Au 2.56

Results
**Relative energy among the computed polymorphs**: 0 kJ/mol of formula units
**Spin magnetization**: 0.000 μB/cell
**Space group**: Pm-3m

No. 5
## NbBiAu (PBE)

Data for crystalline NbBiAu at its relaxed geometry.

Unit cell a=4.2468 b=3.0668 c=14.5840 alpha=90.00 beta=90.00 gamma=133.82
Closest atoms and distances in Å follow each position.
Element x y z (fractional)
Nb  0.6976  0.3952  0.6342  4 Au 2.89-2.95, 4 Nb 3.07, 4 Bi 3.15-3.22
Nb  0.6976  0.3952  0.3658  4 Au 2.89-2.95, 4 Nb 3.07, 4 Bi 3.15-3.22
Au  0.6758  0.3515  0.0000  4 Au 3.07
Au  0.1978  0.3955  0.5000  8 Nb 2.89-2.95, 4 Au 3.07
Bi  0.1989  0.3978  0.7939  4 Bi 3.07, 4 Nb 3.15-3.22
Bi  0.1989  0.3978  0.2061  4 Bi 3.07, 4 Nb 3.15-3.22

Results
**Spin magnetization**: 0.000 μB/cell
**DFT total energy**: -33.41 eV/cell
**Space group**: Amm2

No. 6
## NbBiAu (PBE)

Data for crystalline NbBiAu at its relaxed geometry.

Unit cell a=4.2527 b=4.2580 c=8.0335 alpha=74.74 beta=74.68 gamma=90.07
Closest atoms and distances in Å follow each position.
Element x y z (fractional)
Nb  0.0000  0.5000  0.0000  4 Au 2.89, 4 Nb 3.01, 4 Bi 3.18
Nb  0.5000  0.0000  0.0000  4 Au 2.89, 4 Nb 3.01, 4 Bi 3.18
Bi  0.1583  0.1575  0.6831  5 Au 3.04-3.14, 4 Nb 3.18
Bi  0.8417  0.8425  0.3169  5 Au 3.04-3.14, 4 Nb 3.18
Au  0.6308  0.6301  0.7383  4 Nb 2.89, 5 Bi 3.04-3.14
Au  0.3692  0.3699  0.2617  4 Nb 2.89, 5 Bi 3.04-3.14

Results
**Spin magnetization**: 0.000 μB/cell
**DFT total energy**: -34.86 eV/cell
**Space group**: C2/m

No. 7
## NbBi2RuAu (PBE)

Data for crystalline NbBi2RuAu at its relaxed geometry.

Unit cell a=5.3435 b=4.8721 c=5.3435 alpha=90.00 beta=90.00 gamma=90.00
Closest atoms and distances in Å follow each position.
Element x y z (fractional)
Ru  0.0000  0.5000  0.0000  2 Au 2.44
Nb  0.5000  0.5000  0.5000  8 Bi 3.62, 4 Ru 3.78
Bi  0.0000  0.0000  0.5000  2 Au 2.67
Bi  0.5000  0.0000  0.0000  2 Au 2.67
Au  0.0000  0.0000  0.0000  2 Ru 2.44, 4 Bi 2.67

Results
**Spin magnetization**: 0.000 μB/cell
**DFT total energy**: -22.41 eV/cell
**Space group**: P4/mmm

No. 8
## NdBi3Au3 (PBE)

Data for crystalline NdBi3Au3 at its relaxed geometry.

Unit cell a=7.7969 b=7.7969 c=7.7969 alpha=90.00 beta=90.00 gamma=90.00
Closest atoms and distances in Å follow each position.
Element x y z (fractional)
Nd  0.0000  0.0000  0.0000  12 Bi 4.36, 12 Au 4.36
Nd  0.5000  0.5000  0.5000  12 Bi 4.36, 12 Au 4.36
Bi  0.5000  0.0000  0.2500  4 Au 2.76
Bi  0.0000  0.7500  0.5000  4 Au 2.76
Bi  0.7500  0.5000  0.0000  4 Au 2.76
Bi  0.0000  0.2500  0.5000  4 Au 2.76
Bi  0.2500  0.5000  0.0000  4 Au 2.76
Bi  0.5000  0.0000  0.7500  4 Au 2.76
Au  0.2500  0.0000  0.5000  4 Bi 2.76
Au  0.5000  0.7500  0.0000  4 Bi 2.76
Au  0.7500  0.0000  0.5000  4 Bi 2.76
Au  0.0000  0.5000  0.2500  4 Bi 2.76
Au  0.0000  0.5000  0.7500  4 Bi 2.76
Au  0.5000  0.2500  0.0000  4 Bi 2.76

Results
**Spin magnetization**: 0.000 μB/cell
**DFT total energy**: -50.16 eV/cell
**Space group**: Pm-3n

No. 9
## NdBiAu (PBE)

Data for crystalline NdBiAu at its relaxed geometry.

Unit cell a=6.7203 b=10.6165 c=9.1022 alpha=118.31 beta=124.19 gamma=18.45
Closest atoms and distances in Å follow each position.
Element x y z (fractional)
Au  0.7371  0.0063  0.9960  4 Nd 3.05-3.10, 4 Bi 3.31-3.38, 4 Au 3.33-3.39
Au  0.2629  0.9937  0.0040  4 Nd 3.05-3.10, 4 Bi 3.31-3.38, 4 Au 3.33-3.39
Nd  0.8507  0.6338  0.7343  4 Au 3.05-3.10, 4 Bi 3.38-3.39
Nd  0.1493  0.3662  0.2657  4 Au 3.05-3.10, 4 Bi 3.38-3.39
Bi  0.2650  0.6620  0.6784  4 Au 3.31-3.38, 4 Nd 3.38-3.39, 2 Bi 3.51-3.56
Bi  0.7350  0.3380  0.3216  4 Au 3.31-3.38, 4 Nd 3.38-3.39, 2 Bi 3.51-3.56

Results
**Spin magnetization**: 0.000 μB/cell
**DFT total energy**: -27.88 eV/cell
**Space group**: P-1

No. 10
## NdBiAu (PBE)

Data for crystalline NdBiAu at its relaxed geometry.

Unit cell a=4.8947 b=4.1509 c=8.5253 alpha=104.09 beta=90.00 gamma=90.00
Closest atoms and distances in Å follow each position.
Element x y z (fractional)
Bi  0.7500  0.2422  0.4844  4 Bi 3.22, 4 Nd 3.42-3.47
Bi  0.2500  0.7578  0.5156  4 Bi 3.22, 4 Nd 3.42-3.47
Nd  0.7500  0.9068  0.8136  6 Au 3.14-3.29, 4 Bi 3.42-3.47
Nd  0.2500  0.0932  0.1864  6 Au 3.14-3.29, 4 Bi 3.42-3.47
Au  0.2500  0.4509  0.9018  2 Au 2.94, 2 Nd 3.14
Au  0.7500  0.5491  0.0982  2 Au 2.94, 2 Nd 3.14

Results
**Spin magnetization**: 0.000 μB/cell
**DFT total energy**: -27.52 eV/cell
**Space group**: Cmcm

No. 11
## Nd5Bi2Au (PBE)

Data for crystalline Nd5Bi2Au at its relaxed geometry.

Unit cell a=6.1634 b=6.9362 c=14.6641 alpha=90.00 beta=90.00 gamma=116.38
Closest atoms and distances in Å follow each position.
Element x y z (fractional)
Nd  0.6205  0.2410  0.9287  1 Au 3.14, 3 Bi 3.23-3.26
Nd  0.6205  0.2410  0.5713  1 Au 3.14, 3 Bi 3.23-3.26
Nd  0.3581  0.7161  0.7500  2 Bi 3.10, 2 Au 3.32
Nd  0.0642  0.1283  0.3911  1 Au 3.01, 2 Bi 3.26-3.33
Nd  0.3795  0.7590  0.0713  1 Au 3.14, 3 Bi 3.23-3.26
Nd  0.9358  0.8717  0.8911  1 Au 3.01, 2 Bi 3.26-3.33
Nd  0.0642  0.1283  0.1089  1 Au 3.01, 2 Bi 3.26-3.33
Nd  0.6419  0.2839  0.2500  2 Bi 3.10, 2 Au 3.32
Nd  0.3795  0.7590  0.4287  1 Au 3.14, 3 Bi 3.23-3.26
Nd  0.9358  0.8717  0.6089  1 Au 3.01, 2 Bi 3.26-3.33
Bi  0.8033  0.6066  0.4113  6 Nd 3.10-3.33
Bi  0.1967  0.3934  0.9113  6 Nd 3.10-3.33
Bi  0.1967  0.3934  0.5887  6 Nd 3.10-3.33
Bi  0.8033  0.6066  0.0887  6 Nd 3.10-3.33
Au  0.7595  0.5189  0.7500  6 Nd 3.01-3.32
Au  0.2405  0.4811  0.2500  6 Nd 3.01-3.32

Results
**Spin magnetization**: 0.005 μB/cell
**DFT total energy**: -75.69 eV/cell
**Space group**: Cmcm

No. 12
## NdBiAu2 (PBE)

Data for crystalline NdBiAu2 at its relaxed geometry.

Unit cell a=5.1811 b=5.1811 c=5.1811 alpha=60.00 beta=60.00 gamma=60.00
Closest atoms and distances in Å follow each position.
Element x y z (fractional)
Au  0.7500  0.7500  0.7500  4 Nd 3.17, 4 Bi 3.17
Au  0.2500  0.2500  0.2500  4 Bi 3.17, 4 Nd 3.17
Bi  0.5000  0.5000  0.5000  8 Au 3.17
Nd  0.0000  0.0000  0.0000  8 Au 3.17

Results
**Relative energy among the computed polymorphs**: 0 kJ/mol of formula units
**Spin magnetization**: 0.000 μB/cell
**Space group**: Fm-3m